## CaTa (PBE-GGA)

Data for crystalline CaTa at its relaxed geometry.

```
CaTa
1.0
-2.513 2.513 3.660
2.513 -2.513 3.660
2.513 2.513 -3.660
Ca Ta
2 2
Cartesian
2.513 1.257 0.915
0.000 1.257 2.745
2.513 -1.257 2.745
0.000 3.770 0.915
```

symmetry	I4_1/amd (141)
crystal system	tetragonal
E above lowest polymorph	47.0	kJ per mole of atoms
E_form	81.4	kJ per mole of atoms
Fermi-level density of states	7.3	states/eV per cell

***

## Sm2Zn15Pd2 (PBE-GGA)

Data for crystalline Sm2Zn15Pd2 at its relaxed geometry.

```
Sm2Zn15Pd2
1.0
4.509 2.603 4.414
-4.509 2.603 4.414
0.000 -5.207 4.414
Sm Zn Pd
2 15 2
Cartesian
0.000 0.000 2.145
0.000 0.000 11.097
-2.255 -1.302 4.414
0.000 -2.635 4.222
-2.282 1.318 4.222
-1.295 -2.244 6.621
-2.591 0.000 6.621
-2.282 -1.318 9.020
-2.255 1.302 8.828
1.295 -2.244 6.621
0.000 2.603 4.414
-1.295 2.244 6.621
2.282 1.318 4.222
2.591 0.000 6.621
1.295 2.244 6.621
2.282 -1.318 9.020
0.000 2.635 9.020
0.000 0.000 5.179
0.000 0.000 8.064
```

symmetry	R-3m (166)
crystal system	trigonal
E_form	-32.4	kJ per mole of atoms
Fermi-level density of states	8.3	states/eV per cell